Entry 1:
The following is a PBE calculation of a relaxed structure of Ti2BiAs2, from Alexandria.

Output
Space group = I4/mmm (139)
E above lowest polymorph = 0.42 eV per formula unit

abc: 7.245 7.245 7.245
angles: 149.42 149.42 43.79
Fractional positions:
Ti  0.111  0.111  0.000
Ti  0.889  0.889  0.000
Bi  0.500  0.500  0.000
As  0.250  0.750  0.500
As  0.750  0.250  0.500

***

Entry 2:
The following is a PBE calculation of a relaxed structure of TiZnBi2As, from Alexandria.

Output
Space group = P4/mmm (123)

abc: 5.394 5.394 4.668
angles: 90.00 90.00 90.00
Fractional positions:
Ti  0.000  0.000  0.000
Zn  0.500  0.500  0.500
Bi  0.000  0.500  0.500
Bi  0.500  0.000  0.500
As  0.500  0.500  0.000

***

Entry 3:
The following is a PBE calculation of a relaxed structure of TlBi2As2, from Alexandria.

Output
Space group = I4/mmm (139)
E above lowest polymorph = 0.03 eV per formula unit

abc: 6.098 6.098 6.098
angles: 124.34 124.34 82.63
Fractional positions:
Tl  0.000  0.000  0.000
Bi  0.250  0.750  0.500
Bi  0.750  0.250  0.500
As  0.361  0.361  0.000
As  0.639  0.639  0.000

***

Entry 4:
The following is a PBE calculation of a relaxed structure of Tl2BiAs, from Alexandria.

Output
Space group = Fm-3m (225)
E above lowest polymorph = 0.88 eV per formula unit

abc: 5.433 5.433 5.433
angles: 60.00 60.00 60.00
Fractional positions:
Tl  0.250  0.250  0.250
Tl  0.750  0.750  0.750
Bi  0.000  0.000  0.000
As  0.500  0.500  0.500

***

Entry 5:
The following is a PBE calculation of a relaxed structure of Tl2Bi2As, from Alexandria.

Output
Space group = P4/mbm (127)
E above lowest polymorph = 1.02 eV per formula unit

abc: 7.891 7.891 5.147
angles: 90.00 90.00 90.00
Fractional positions:
Tl  0.167  0.333  0.000
Tl  0.333  0.833  0.000
Tl  0.667  0.167  0.000
Tl  0.833  0.667  0.000
Bi  0.133  0.633  0.500
Bi  0.367  0.133  0.500
Bi  0.633  0.867  0.500
Bi  0.867  0.367  0.500
As  0.000  0.000  0.000
As  0.500  0.500  0.000

***

Entry 6:
The following is a PBE calculation of a relaxed structure of TlBi3As, from Alexandria.

Output
Space group = Pm-3m (221)
E above lowest polymorph = 3.33 eV per formula unit

abc: 5.778 5.778 5.778
angles: 90.00 90.00 90.00
Fractional positions:
Tl  0.000  0.000  0.000
Bi  0.000  0.000  0.500
Bi  0.000  0.500  0.000
Bi  0.500  0.000  0.000
As  0.500  0.500  0.500

***

Entry 7:
The following is a PBE calculation of a relaxed structure of TlBi3As, from Alexandria.

Output
Space group = Pm-3m (221)
E above lowest polymorph = 0.00 eV per formula unit

abc: 5.646 5.646 5.646
angles: 90.00 90.00 90.00
Fractional positions:
Tl  0.000  0.000  0.000
Bi  0.000  0.500  0.500
Bi  0.500  0.000  0.500
Bi  0.500  0.500  0.000
As  0.500  0.500  0.500

***

Entry 8:
The following is a PBE calculation of a relaxed structure of Tl6Bi2As, from Alexandria.

Output
Space group = C2/m (12)
E above lowest polymorph = 0.08 eV per formula unit

abc: 5.564 5.564 11.271
angles: 104.10 104.10 60.85
Fractional positions:
Tl  0.100  0.100  0.269
Tl  0.191  0.191  0.584
Tl  0.291  0.291  0.908
Tl  0.709  0.709  0.092
Tl  0.809  0.809  0.416
Tl  0.900  0.900  0.731
Bi  0.418  0.418  0.217
Bi  0.582  0.582  0.783
As  0.500  0.500  0.500

***

Entry 9:
The following is a PBE calculation of a relaxed structure of TlBi2As, from Alexandria.

Output
Space group = Fm-3m (225)
E above lowest polymorph = 0.58 eV per formula unit

abc: 5.403 5.403 5.403
angles: 60.00 60.00 60.00
Fractional positions:
Tl  0.000  0.000  0.000
Bi  0.250  0.250  0.250
Bi  0.750  0.750  0.750
As  0.500  0.500  0.500

***

Entry 10:
The following is a PBE calculation of a relaxed structure of TlBiAs3, from Alexandria.

Output
Space group = Pm-3m (221)
E above lowest polymorph = 0.00 eV per formula unit

abc: 5.522 5.522 5.522
angles: 90.00 90.00 90.00
Fractional positions:
Tl  0.000  0.000  0.000
Bi  0.500  0.500  0.500
As  0.000  0.500  0.500
As  0.500  0.000  0.500
As  0.500  0.500  0.000

***

Entry 11:
The following is a PBE calculation of a relaxed structure of Tl6Bi2As, from Alexandria.

Output
Space group = Amm2 (38)
E above lowest polymorph = 0.00 eV per formula unit

abc: 4.675 8.319 8.319
angles: 117.17 90.00 90.00
Fractional positions:
Tl  0.000  0.000  0.000
Tl  0.000  0.510  0.758
Tl  0.000  0.758  0.510
Tl  0.500  0.155  0.761
Tl  0.500  0.372  0.372
Tl  0.500  0.761  0.155
Bi  0.000  0.098  0.426
Bi  0.000  0.426  0.098
As  0.500  0.761  0.761

***

Entry 12:
The following is a PBE calculation of a relaxed structure of TlBi2As2, from Alexandria.

Output
Space group = P4/mbm (127)
E above lowest polymorph = 0.19 eV per formula unit

abc: 8.332 8.332 3.950
angles: 90.00 90.00 90.00
Fractional positions:
Tl  0.000  0.000  0.000
Tl  0.500  0.500  0.000
Bi  0.147  0.353  0.500
Bi  0.353  0.853  0.500
Bi  0.647  0.147  0.500
Bi  0.853  0.647  0.500
As  0.149  0.649  0.000
As  0.351  0.149  0.000
As  0.649  0.851  0.000
As  0.851  0.351  0.000

***

For reference, calculated formation energy by record: -373; 774; 100; 230; 323; 1068; 401; 36; 236; 819; 28; 133 meV/atom.
For reference, calculated volume by record: 19.62; 27.17; 29.69; 28.35; 32.05; 38.58; 36.00; 32.47; 27.88; 33.67; 31.98; 27.42 A^3/atom.